Compound: Rb3In4Bi4
Source: Alexandria via LeMat-Bulk
Functional: PBE-GGA
Structure: optimized geometry

Calculated values
Its space group is I-43m (217). The density of states at the Fermi level is 6.58 states/eV/f.u. Its energy relative to the elements is -0.188 eV per atom. The calculation puts the raw total energy at -2.86 eV per atom. The calculation puts the energy relative to the lowest polymorph listed for this composition at 0.0 meV per atom.

Cell lengths 8.429, 8.429, 8.429 Å; angles 109.47, 109.47, 109.47 degrees
Fractional positions:
1 Rb 0.000 0.500 0.500
2 Rb 0.500 0.000 0.500
3 Rb 0.500 0.500 0.000
4 In 0.000 0.000 0.710
5 In 0.000 0.710 0.000
6 In 0.290 0.290 0.290
7 In 0.710 0.000 0.000
8 Bi 0.000 0.000 0.349
9 Bi 0.000 0.349 0.000
10 Bi 0.349 0.000 0.000
11 Bi 0.651 0.651 0.651

---

Compound: RbGaAsAu
Source: Alexandria via LeMat-Bulk
Functional: PBE-GGA
Structure: optimized geometry

Calculated values
Its space group is P4/nmm (129). The density of states at the Fermi level is 1.12 states/eV/f.u. Its energy relative to the elements is -0.254 eV per atom. The calculation puts the raw total energy at -3.23 eV per atom.

Cell lengths 4.248, 4.248, 12.845 Å; angles 90.00, 90.00, 90.00 degrees
Fractional positions:
1 Rb 0.250 0.250 0.216
2 Rb 0.750 0.750 0.784
3 Ga 0.250 0.750 0.500
4 Ga 0.750 0.250 0.500
5 As 0.250 0.250 0.615
6 As 0.750 0.750 0.385
7 Au 0.250 0.750 0.000
8 Au 0.750 0.250 0.000

---

Compound: MgBeZn2Ga
Source: Alexandria via LeMat-Bulk
Functional: PBE-GGA
Structure: optimized geometry

Calculated values
Its space group is P4/mmm (123). The density of states at the Fermi level is 1.54 states/eV/f.u. Its energy relative to the elements is 0.462 eV per atom. The calculation puts the raw total energy at -1.72 eV per atom.

Cell lengths 4.863, 4.863, 4.257 Å; angles 90.00, 90.00, 90.00 degrees
Fractional positions:
1 Mg 0.000 0.000 0.000
2 Be 0.500 0.500 0.000
3 Zn 0.000 0.500 0.500
4 Zn 0.500 0.000 0.500
5 Ga 0.500 0.500 0.500

---

Compound: TaTePb2
Source: Alexandria via LeMat-Bulk
Functional: PBE-GGA
Structure: optimized geometry

Calculated values
Its formation energy (no corrections) is 0.529 eV/atom. Its space group is P2/m (10). The density of states at the Fermi level is 2.08 states/eV/f.u. The calculation puts the raw total energy at -5.07 eV per atom.

Cell lengths 3.592, 5.480, 5.551 Å; angles 90.00, 95.43, 90.00 degrees
Fractional positions:
1 Ta 0.000 0.000 0.000
2 Te 0.000 0.000 0.500
3 Pb 0.301 0.500 0.236
4 Pb 0.699 0.500 0.764

---

Compound: Na4AlTl3O8
Source: Alexandria via LeMat-Bulk
Functional: PBE-GGA
Structure: optimized geometry

Calculated values
Its formation energy (no corrections) is -1.369 eV/atom. Its space group is R-3m (166). The calculation puts the raw total energy at -4.86 eV per atom.

Cell lengths 6.719, 6.719, 6.719 Å; angles 58.84, 58.84, 58.84 degrees
Fractional positions:
1 Na 0.000 0.000 0.000
2 Na 0.000 0.500 0.500
3 Na 0.500 0.000 0.500
4 Na 0.500 0.500 0.000
5 Al 0.500 0.500 0.500
6 Tl 0.000 0.000 0.500
7 Tl 0.000 0.500 0.000
8 Tl 0.500 0.000 0.000
9 O 0.244 0.244 0.244
10 O 0.275 0.716 0.716
11 O 0.284 0.284 0.725
12 O 0.284 0.725 0.284
13 O 0.716 0.275 0.716
14 O 0.716 0.716 0.275
15 O 0.725 0.284 0.284
16 O 0.756 0.756 0.756

---

Compound: Y4HoBi2
Source: Alexandria via LeMat-Bulk
Functional: PBE-GGA
Structure: optimized geometry

Calculated values
Its space group is I4/mmm (139). The density of states at the Fermi level is 6.41 states/eV/f.u. Its energy relative to the elements is 0.272 eV per atom. The calculation puts the raw total energy at -5.18 eV per atom.

Cell lengths 9.199, 9.199, 9.199 Å; angles 146.28, 146.28, 48.43 degrees
Fractional positions:
1 Y 0.000 0.500 0.500
2 Y 0.182 0.182 0.000
3 Y 0.500 0.000 0.500
4 Y 0.818 0.818 0.000
5 Ho 0.000 0.000 0.000
6 Bi 0.366 0.366 0.000
7 Bi 0.634 0.634 0.000

---

Compound: RbSrPuO4
Source: Alexandria via LeMat-Bulk
Functional: PBE-GGA
Structure: optimized geometry

Calculated values
Its formation energy (no corrections) is -2.586 eV/atom. Its space group is I4mm (107). The density of states at the Fermi level is 4.18 states/eV/f.u. The calculation puts the raw total energy at -7.84 eV per atom.

Cell lengths 7.206, 7.206, 7.206 Å; angles 144.56, 144.56, 50.99 degrees
Fractional positions:
1 Rb 0.000 0.000 0.000
2 Sr 0.289 0.289 0.000
3 Pu 0.645 0.645 0.000
4 O 0.163 0.663 0.500
5 O 0.488 0.488 0.000
6 O 0.663 0.163 0.500
7 O 0.800 0.800 0.000

---

Compound: La2Tb5Y12
Source: Alexandria via LeMat-Bulk
Functional: PBE-GGA
Structure: optimized geometry

Calculated values
Its space group is P-1 (2). The density of states at the Fermi level is 30.29 states/eV/f.u. Its energy relative to the elements is 0.060 eV per atom. The calculation puts the raw total energy at -5.76 eV per atom. The calculation puts the energy relative to the lowest polymorph listed for this composition at 0.0 meV per atom.

Cell lengths 6.288, 9.683, 10.766 Å; angles 94.11, 97.67, 103.43 degrees
Fractional positions:
1 La 0.244 0.473 0.099
2 La 0.756 0.527 0.901
3 Tb 0.000 0.000 0.500
4 Tb 0.245 0.585 0.723
5 Tb 0.473 0.057 0.351
6 Tb 0.527 0.943 0.649
7 Tb 0.755 0.415 0.277
8 Y 0.057 0.891 0.801
9 Y 0.136 0.813 0.107
10 Y 0.200 0.700 0.407
11 Y 0.277 0.358 0.439
12 Y 0.324 0.239 0.742
13 Y 0.410 0.149 0.047
14 Y 0.590 0.851 0.953
15 Y 0.676 0.761 0.258
16 Y 0.723 0.642 0.561
17 Y 0.800 0.300 0.593
18 Y 0.864 0.187 0.893
19 Y 0.943 0.109 0.199

---

Compound: KCaPO2
Source: Alexandria via LeMat-Bulk
Functional: PBE-GGA
Structure: optimized geometry

Calculated values
Its formation energy (no corrections) is -0.459 eV/atom. Its space group is P4/mmm (123). The density of states at the Fermi level is 2.52 states/eV/f.u. The calculation puts the raw total energy at -4.14 eV per atom. The calculation puts the energy relative to the lowest polymorph listed for this composition at 0.0 meV per atom.

Cell lengths 4.625, 4.625, 5.716 Å; angles 90.00, 90.00, 90.00 degrees
Fractional positions:
1 K 0.000 0.000 0.000
2 Ca 0.500 0.500 0.500
3 P 0.500 0.500 0.000
4 O 0.000 0.500 0.500
5 O 0.500 0.000 0.500

---

Compound: RbBP2S8
Source: Alexandria via LeMat-Bulk
Functional: PBE-GGA
Structure: optimized geometry

Calculated values
Its formation energy (no corrections) is -0.077 eV/atom. Its space group is C2/m (12). The density of states at the Fermi level is 3.84 states/eV/f.u. The calculation puts the raw total energy at -4.37 eV per atom.

Cell lengths 7.671, 7.671, 10.271 Å; angles 107.08, 107.08, 40.48 degrees
Fractional positions:
1 Rb 0.000 0.000 0.000
2 B 0.000 0.000 0.500
3 P 0.451 0.451 0.694
4 P 0.549 0.549 0.306
5 S 0.128 0.666 0.523
6 S 0.334 0.872 0.477
7 S 0.354 0.354 0.791
8 S 0.409 0.409 0.209
9 S 0.591 0.591 0.791
10 S 0.646 0.646 0.209
11 S 0.666 0.128 0.523
12 S 0.872 0.334 0.477

---

Compound: Li4AgRh
Source: Alexandria via LeMat-Bulk
Functional: PBE-GGA
Structure: optimized geometry

Calculated values
Its space group is F-43m (216). The density of states at the Fermi level is 2.18 states/eV/f.u. Its energy relative to the elements is 0.007 eV per atom. The calculation puts the raw total energy at -2.97 eV per atom. The calculation puts the energy relative to the lowest polymorph listed for this composition at 155.1 meV per atom.

Cell lengths 4.891, 4.891, 4.891 Å; angles 60.00, 60.00, 60.00 degrees
Fractional positions:
1 Li 0.124 0.124 0.124
2 Li 0.124 0.124 0.629
3 Li 0.124 0.629 0.124
4 Li 0.629 0.124 0.124
5 Ag 0.500 0.500 0.500
6 Rh 0.750 0.750 0.750

---

Compound: SrReMo4
Source: Alexandria via LeMat-Bulk
Functional: PBE-GGA
Structure: optimized geometry

Calculated values
Its space group is F-43m (216). The density of states at the Fermi level is 4.56 states/eV/f.u. Its energy relative to the elements is 0.711 eV per atom. The calculation puts the raw total energy at -8.86 eV per atom.

Cell lengths 5.373, 5.373, 5.373 Å; angles 60.00, 60.00, 60.00 degrees
Fractional positions:
1 Sr 0.000 0.000 0.000
2 Re 0.250 0.250 0.250
3 Mo 0.126 0.625 0.625
4 Mo 0.625 0.126 0.625
5 Mo 0.625 0.625 0.126
6 Mo 0.625 0.625 0.625

---

Number 8 is which compound?
La2Tb5Y12